Entry 1:
NbCr2PtN: optimized geometry, PBE.

Cell lengths 3.9005, 3.9005, 4.2045 Å; angles 90.00, 90.00, 90.00 degrees
Last column: nearest neighbours and their distance in Å.
Space group P4/mmm (No. 123)
Unique sites:
1 Nb 0.0000 0.0000 0.0000 (multiplicity 1)  2 N 2.10
2 Cr 0.0000 0.5000 0.5000 (multiplicity 2)  2 N 1.95
3 Pt 0.5000 0.5000 0.0000 (multiplicity 1)  4 Nb 2.76, 8 Cr 2.87
4 N 0.0000 0.0000 0.5000 (multiplicity 1)  4 Cr 1.95, 2 Nb 2.10

Properties
Crystal system = tetragonal
Theoretical density = 10.54 g/cm³
Calculated volume = 64.0 Å³ per cell
Uncorrected formation energy = -466 meV per atom

---

Entry 2:
Zr2InCo: optimized geometry, PBE.

Cell lengths 3.0786, 3.0786, 8.1508 Å; angles 90.00, 90.00, 90.00 degrees
Last column: nearest neighbours and their distance in Å.
Space group P4/mmm (No. 123)
Unique sites:
1 Zr 0.0000 0.0000 0.2063 (multiplicity 2)  4 Co 2.75, 4 Zr 3.08
2 In 0.5000 0.5000 0.5000 (multiplicity 1)  4 In 3.08, 8 Zr 3.24
3 Co 0.5000 0.5000 0.0000 (multiplicity 1)  8 Zr 2.75, 4 Co 3.08

Properties
Crystal system = tetragonal
Calculated total energy = -7.0002 eV/atom
Theoretical density = 7.66 g/cm³
Calculated volume = 77.3 Å³ per cell